A:
The following is a PBE-GGA calculation of an optimized crystal structure of BaLi2Ta, from Alexandria via LeMat-Bulk.

a b c (Å): 5.389 5.389 3.110
angles (deg): 90.00 90.00 90.00
Sites, in units of the cell vectors:
Ba (0.000, 0.000, 0.000)
Li (0.000, 0.500, 0.500)
Li (0.500, 0.000, 0.500)
Ta (0.500, 0.500, 0.000)

space-group type: P4/mmm, No. 123
density of states at the Fermi level: 5.2 states/eV/cell
size of the total moment: 0.0 μB per cell

B:
The following is a PBE-GGA calculation of an optimized crystal structure of BaLi2Ta, from Alexandria via LeMat-Bulk.

a b c (Å): 3.073 3.073 11.329
angles (deg): 90.00 90.00 116.50
Sites, in units of the cell vectors:
Ba (0.000, 0.000, 0.000)
Li (0.500, 0.500, 0.284)
Li (0.500, 0.500, 0.716)
Ta (0.000, 0.000, 0.500)

space-group type: Cmmm, No. 65
density of states at the Fermi level: 4.3 states/eV/cell
size of the total moment: 0.0 μB per cell

C:
The following is a PBE-GGA calculation of an optimized crystal structure of BaLi2Ta, from Alexandria via LeMat-Bulk.

a b c (Å): 5.964 5.964 2.954
angles (deg): 96.91 96.91 113.46
Sites, in units of the cell vectors:
Ba (0.000, 0.000, 0.000)
Li (0.000, 0.500, 0.500)
Li (0.500, 0.000, 0.500)
Ta (0.500, 0.500, 0.000)

space-group type: C2/m, No. 12
density of states at the Fermi level: 4.2 states/eV/cell
size of the total moment: 0.0 μB per cell

D:
The following is a PBE-GGA calculation of an optimized crystal structure of BaLi2Ta, from Alexandria via LeMat-Bulk.

a b c (Å): 5.750 5.750 5.750
angles (deg): 133.55 133.55 67.80
Sites, in units of the cell vectors:
Ba (0.000, 0.000, 0.000)
Li (0.250, 0.750, 0.500)
Li (0.500, 0.500, 0.000)
Ta (0.750, 0.250, 0.500)

space-group type: I-4m2, No. 119
density of states at the Fermi level: 4.5 states/eV/cell
size of the total moment: 1.8 μB per cell

Q: Which of them is the most stable? A: B.